[1]
Crystalline Dy3PdSe2 at its relaxed geometry, computed with PBE.

a b c (Å): 8.3527 11.5980 24.2300
angles (deg): 90.00 90.00 90.00
Space group Fddd (No. 70, origin choice 2)
Inequivalent atoms, fractional coordinates:
Dy (0.1170, 0.3750, 0.3750) [16 per cell]
Dy (0.1207, 0.3691, 0.2105) [32 per cell]
Pd (0.1250, 0.1250, 0.0417) [16 per cell]
Se (0.1250, 0.1250, 0.3767) [16 per cell]
Se (0.1250, 0.1250, 0.5442) [16 per cell]

Summary:
Its formation energy from raw total energies is -1.4297 eV per atom. For the total energy, the calculation gives -5.758 eV/atom.



[2]
Crystalline BeTcIr at its relaxed geometry, computed with PBE.

a b c (Å): 8.6552 3.9272 5.0987
angles (deg): 90.00 120.12 90.00
Space group Cm (No. 8)
Inequivalent atoms, fractional coordinates:
Be (0.0000, 0.0000, 0.0000) [2 per cell]
Be (0.1934, 0.5000, 0.7589) [2 per cell]
Tc (0.1871, 0.5000, 0.2671) [2 per cell]
Tc (0.3210, 0.0000, 0.1200) [2 per cell]
Ir (0.0381, 0.0000, 0.5072) [2 per cell]
Ir (0.3926, 0.0000, 0.6893) [2 per cell]

Summary:
For the total energy, the calculation gives -7.879 eV/atom. As for the calculated formation energy: -22 kJ per mole of atoms. Its offset from the most stable computed form is 0.139 eV per atom.



[3]
Crystalline LiNd4Au2 at its relaxed geometry, computed with PBE.

a b c (Å): 5.1913 5.1913 26.2964
angles (deg): 90.00 90.00 120.00
Space group R-3m (No. 166, hexagonal axes)
Inequivalent atoms, fractional coordinates:
Li (0.0000, 0.0000, 0.0000) [3 per cell]
Nd (0.0000, 0.0000, 0.2104) [6 per cell]
Nd (0.0000, 0.0000, 0.3775) [6 per cell]
Au (0.0000, 0.0000, 0.0951) [6 per cell]

Summary:
For the total energy, the calculation gives -4.263 eV/atom. As for the calculated formation energy: -32 kJ per mole of atoms.



[4]
Crystalline MnIn2Pb at its relaxed geometry, computed with PBE.

a b c (Å): 7.4149 7.4149 7.4149
angles (deg): 90.00 90.00 90.00
Space group F-43m (No. 216)
Inequivalent atoms, fractional coordinates:
Mn (0.0000, 0.0000, 0.0000) [4 per cell]
In (0.0000, 0.0000, 0.5000) [4 per cell]
In (0.2500, 0.2500, 0.7500) [4 per cell]
Pb (0.2500, 0.2500, 0.2500) [4 per cell]

Summary:
For the total energy, the calculation gives -4.221 eV/atom. As for the calculated formation energy: 35 kJ per mole of atoms.



[5]
Crystalline NaNi2Ag2 at its relaxed geometry, computed with PBE.

a b c (Å): 3.4849 3.4849 14.2021
angles (deg): 90.00 90.00 90.00
Space group I4/mmm (No. 139)
Inequivalent atoms, fractional coordinates:
Na (0.0000, 0.0000, 0.0000) [2 per cell]
Ni (0.0000, 0.5000, 0.2500) [4 per cell]
Ag (0.0000, 0.0000, 0.3921) [4 per cell]

Summary:
For the total energy, the calculation gives -3.358 eV/atom. As for the calculated formation energy: 35 kJ per mole of atoms. Its offset from the most stable computed form is 0.120 eV per atom.



[6]
Crystalline Pm3DySe6 at its relaxed geometry, computed with PBE.

a b c (Å): 6.9794 7.7015 12.6358
angles (deg): 90.00 122.73 90.00
Space group P2_1/c (No. 14)
Inequivalent atoms, fractional coordinates:
Pm (0.0000, 0.0000, 0.0000) [2 per cell]
Pm (0.2979, 0.1037, 0.7524) [4 per cell]
Dy (0.5000, 0.0000, 0.5000) [2 per cell]
Se (0.0948, 0.0604, 0.2544) [4 per cell]
Se (0.2572, 0.6802, 0.0823) [4 per cell]
Se (0.4130, 0.1847, 0.0805) [4 per cell]

Summary:
Its formation energy from raw total energies is -1.8426 eV per atom. For the total energy, the calculation gives -5.819 eV/atom. Its offset from the most stable computed form is 0.022 eV per atom.



Number 1: D(E_F) 56.581 states/eV per cell. Number 2: D(E_F) 6.988 states/eV per cell. Number 3: D(E_F) 21.582 states/eV per cell. Number 4: D(E_F) 11.565 states/eV per cell. Number 5: D(E_F) 14.267 states/eV per cell. Number 6: D(E_F) 0.000 states/eV per cell.